Below is a relaxed V2AsPtO crystal, with properties calculated at the PBE+U level.

abc: 4.9393 4.9393 4.4930
angles: 90.00 90.00 90.00
Space group P4/mmm (No. 123)
Symmetry-distinct sites (fractional):
V (0.0000, 0.5000, 0.0000) x2
As (0.0000, 0.0000, 0.0000) x1
Pt (0.0000, 0.0000, 0.5000) x1
O (0.5000, 0.5000, 0.5000) x1

VASP energy ... -25.5 eV per formula unit